No. 1
Dy2ScNiSn3Ir2: relaxed, PBE-GGA.

Structure (extended XYZ):
```
9
Lattice="3.667 0.000 0.000 0.000 6.517 3.779 0.000 -6.517 3.779" Properties=species:S:1:pos:R:3 pbc="T T T"
Ni 0.000 0.000 7.537
Dy 0.000 -3.868 5.312
Dy 0.000 3.868 5.312
Sn 1.833 0.000 1.975
Sn 1.833 -1.648 6.560
Sn 1.833 1.648 6.560
Sc 0.000 0.000 4.493
Ir 1.833 -2.104 3.799
Ir 1.833 2.104 3.799
```

Properties
Density (g/cm³): 10.75
Total energy (eV per formula unit): -57.80
Crystal system: orthorhombic

---

No. 2
Dy2Si4NiIr: relaxed, PBE-GGA.

Structure (extended XYZ):
```
8
Lattice="4.095 0.000 0.000 0.000 2.022 8.281 0.000 -2.022 8.281" Properties=species:S:1:pos:R:3 pbc="T T T"
Si 0.000 0.000 7.699
Si 2.047 0.000 8.950
Si 0.000 0.000 12.325
Si 2.047 0.000 4.077
Ir 0.000 0.000 5.344
Dy 2.047 0.000 14.881
Dy 0.000 0.000 1.784
Ni 2.047 0.000 11.191
```

Properties
Density (g/cm³): 8.33
Total energy (eV per formula unit): -52.33
Crystal system: orthorhombic

---

No. 3
DySi2NiIr: relaxed, PBE-GGA.

Structure (extended XYZ):
```
5
Lattice="-3.064 -3.618 3.200 -5.691 -0.285 -0.511 4.655 -0.035 -3.325" Properties=species:S:1:pos:R:3 pbc="T T T"
Ni -1.393 -2.803 0.610
Dy -4.377 -1.952 1.344
Ir -2.706 -1.136 -1.246
Si -1.053 -0.470 0.324
Si -7.702 -3.434 2.365
```

Properties
Density (g/cm³): 9.86
Total energy (eV per formula unit): -34.56
Crystal system: tetragonal

---

No. 4
Dy3NiSn3Ir2: relaxed, PBE-GGA.

Structure (extended XYZ):
```
9
Lattice="-0.888 3.275 1.757 0.817 -3.363 6.679 5.888 3.350 -3.269" Properties=species:S:1:pos:R:3 pbc="T T T"
Sn 0.164 -0.866 5.852
Sn 3.941 4.132 -1.555
Sn 1.269 1.634 1.750
Ir 2.064 0.513 4.241
Ir 3.754 2.750 0.926
Dy 2.390 1.360 -1.327
Dy 3.984 -0.007 2.026
Dy 0.332 -1.365 2.711
Ni 0.000 0.000 0.000
```

Properties
Density (g/cm³): 11.41
Total energy (eV per formula unit): -56.27
Crystal system: hexagonal